# PBE-GGA Li2MoHPt, optimized geometry
data_Li2MoHPt
_symmetry_space_group_name_H-M 'P 1'
_symmetry_Int_Tables_number 1
_cell_length_a 5.436
_cell_length_b 5.436
_cell_length_c 4.731
_cell_angle_alpha 90.00
_cell_angle_beta 90.00
_cell_angle_gamma 90.00
loop_
_symmetry_equiv_pos_as_xyz
'x,y,z'
loop_
_atom_site_label
_atom_site_type_symbol
_atom_site_fract_x
_atom_site_fract_y
_atom_site_fract_z
Li1 Li 0.000 0.500 0.000
Li2 Li 0.500 0.000 0.000
Mo1 Mo 0.000 0.000 0.000
H1 H 0.500 0.500 0.500
Pt1 Pt 0.000 0.000 0.500
# Space group: No. 123
# D(E_F) in states/eV/cell: 2.0
# Energy in hartree per atom: -0.1245

# PBE-GGA LiMoHRh2, optimized geometry
data_LiMoHRh2
_symmetry_space_group_name_H-M 'P 1'
_symmetry_Int_Tables_number 1
_cell_length_a 3.970
_cell_length_b 3.970
_cell_length_c 3.699
_cell_angle_alpha 90.00
_cell_angle_beta 90.00
_cell_angle_gamma 90.00
loop_
_symmetry_equiv_pos_as_xyz
'x,y,z'
loop_
_atom_site_label
_atom_site_type_symbol
_atom_site_fract_x
_atom_site_fract_y
_atom_site_fract_z
Li1 Li 0.000 0.000 0.000
Mo1 Mo 0.500 0.500 0.000
H1 H 0.000 0.000 0.500
Rh1 Rh 0.000 0.500 0.500
Rh2 Rh 0.500 0.000 0.500
# Space group: No. 123
# D(E_F) in states/eV/cell: 4.4
# Energy in hartree per atom: -0.2255

# PBE-GGA Li2SnMoH, optimized geometry
data_Li2SnMoH
_symmetry_space_group_name_H-M 'P 1'
_symmetry_Int_Tables_number 1
_cell_length_a 3.964
_cell_length_b 3.964
_cell_length_c 4.078
_cell_angle_alpha 90.00
_cell_angle_beta 90.00
_cell_angle_gamma 90.00
loop_
_symmetry_equiv_pos_as_xyz
'x,y,z'
loop_
_atom_site_label
_atom_site_type_symbol
_atom_site_fract_x
_atom_site_fract_y
_atom_site_fract_z
Li1 Li 0.000 0.500 0.000
Li2 Li 0.500 0.000 0.000
Sn1 Sn 0.000 0.000 0.500
Mo1 Mo 0.500 0.500 0.500
H1 H 0.500 0.500 0.000
# Space group: No. 123
# D(E_F) in states/eV/cell: 2.4
# Energy in hartree per atom: -0.1637

# PBE-GGA Li2TlMoH, optimized geometry
data_Li2TlMoH
_symmetry_space_group_name_H-M 'P 1'
_symmetry_Int_Tables_number 1
_cell_length_a 5.173
_cell_length_b 5.173
_cell_length_c 5.339
_cell_angle_alpha 90.00
_cell_angle_beta 90.00
_cell_angle_gamma 90.00
loop_
_symmetry_equiv_pos_as_xyz
'x,y,z'
loop_
_atom_site_label
_atom_site_type_symbol
_atom_site_fract_x
_atom_site_fract_y
_atom_site_fract_z
Li1 Li 0.000 0.500 0.000
Li2 Li 0.500 0.000 0.000
Tl1 Tl 0.000 0.000 0.000
Mo1 Mo 0.000 0.000 0.500
H1 H 0.500 0.500 0.500
# Space group: No. 123
# D(E_F) in states/eV/cell: 2.0
# Energy in hartree per atom: -0.1010

# PBE-GGA Li7HN2, optimized geometry
data_Li7HN2
_symmetry_space_group_name_H-M 'P 1'
_symmetry_Int_Tables_number 1
_cell_length_a 10.028
_cell_length_b 10.028
_cell_length_c 10.028
_cell_angle_alpha 20.51
_cell_angle_beta 20.51
_cell_angle_gamma 20.51
loop_
_symmetry_equiv_pos_as_xyz
'x,y,z'
loop_
_atom_site_label
_atom_site_type_symbol
_atom_site_fract_x
_atom_site_fract_y
_atom_site_fract_z
Li1 Li 0.000 0.000 0.000
Li2 Li 0.131 0.131 0.131
Li3 Li 0.276 0.276 0.276
Li4 Li 0.409 0.409 0.409
Li5 Li 0.591 0.591 0.591
Li6 Li 0.724 0.724 0.724
Li7 Li 0.869 0.869 0.869
H1 H 0.500 0.500 0.500
N1 N 0.066 0.066 0.066
N2 N 0.934 0.934 0.934
# Offset from the most stable computed form in meV per atom: 0
# Space group: No. 166
# Energy in hartree per atom: -0.1351

# PBE-GGA Li2HN, optimized geometry
data_Li2HN
_symmetry_space_group_name_H-M 'P 1'
_symmetry_Int_Tables_number 1
_cell_length_a 3.411
_cell_length_b 3.411
_cell_length_c 3.411
_cell_angle_alpha 60.00
_cell_angle_beta 60.00
_cell_angle_gamma 60.00
loop_
_symmetry_equiv_pos_as_xyz
'x,y,z'
loop_
_atom_site_label
_atom_site_type_symbol
_atom_site_fract_x
_atom_site_fract_y
_atom_site_fract_z
Li1 Li 0.250 0.250 0.250
Li2 Li 0.750 0.750 0.750
H1 H 0.000 0.000 0.000
N1 N 0.500 0.500 0.500
# Offset from the most stable computed form in meV per atom: 717
# Space group: No. 225
# D(E_F) in states/eV/cell: 1.1
# Energy in hartree per atom: -0.1346

# PBE-GGA LiH12N3, optimized geometry
data_LiH12N3
_symmetry_space_group_name_H-M 'P 1'
_symmetry_Int_Tables_number 1
_cell_length_a 8.873
_cell_length_b 8.873
_cell_length_c 8.873
_cell_angle_alpha 55.65
_cell_angle_beta 55.65
_cell_angle_gamma 55.65
loop_
_symmetry_equiv_pos_as_xyz
'x,y,z'
loop_
_atom_site_label
_atom_site_type_symbol
_atom_site_fract_x
_atom_site_fract_y
_atom_site_fract_z
Li1 Li 0.000 0.000 0.000
Li2 Li 0.500 0.500 0.500
H1 H 0.010 0.459 0.536
H2 H 0.036 0.959 0.510
H3 H 0.093 0.632 0.469
H4 H 0.094 0.611 0.790
H5 H 0.111 0.594 0.290
H6 H 0.132 0.593 0.969
H7 H 0.206 0.389 0.928
H8 H 0.290 0.111 0.594
H9 H 0.389 0.928 0.206
H10 H 0.428 0.889 0.706
H11 H 0.459 0.536 0.010
H12 H 0.469 0.093 0.632
H13 H 0.510 0.036 0.959
H14 H 0.536 0.010 0.459
H15 H 0.593 0.969 0.132
H16 H 0.594 0.290 0.111
H17 H 0.611 0.790 0.094
H18 H 0.632 0.469 0.093
H19 H 0.706 0.428 0.889
H20 H 0.790 0.094 0.611
H21 H 0.889 0.706 0.428
H22 H 0.928 0.206 0.389
H23 H 0.959 0.510 0.036
H24 H 0.969 0.132 0.593
N1 N 0.025 0.596 0.433
N2 N 0.096 0.525 0.933
N3 N 0.433 0.025 0.596
N4 N 0.525 0.933 0.096
N5 N 0.596 0.433 0.025
N6 N 0.933 0.096 0.525
# Space group: No. 161
# D(E_F) in states/eV/cell: 4.8
# Energy in hartree per atom: -0.1531

# PBE-GGA Li3HN, optimized geometry
data_Li3HN
_symmetry_space_group_name_H-M 'P 1'
_symmetry_Int_Tables_number 1
_cell_length_a 5.349
_cell_length_b 5.349
_cell_length_c 5.349
_cell_angle_alpha 66.42
_cell_angle_beta 66.42
_cell_angle_gamma 66.42
loop_
_symmetry_equiv_pos_as_xyz
'x,y,z'
loop_
_atom_site_label
_atom_site_type_symbol
_atom_site_fract_x
_atom_site_fract_y
_atom_site_fract_z
Li1 Li 0.095 0.273 0.632
Li2 Li 0.132 0.773 0.595
Li3 Li 0.273 0.632 0.095
Li4 Li 0.595 0.132 0.773
Li5 Li 0.632 0.095 0.273
Li6 Li 0.773 0.595 0.132
H1 H 0.018 0.018 0.018
H2 H 0.518 0.518 0.518
N1 N 0.433 0.433 0.433
N2 N 0.933 0.933 0.933
# Offset from the most stable computed form in meV per atom: 0
# Space group: No. 161
# D(E_F) in states/eV/cell: 1.5
# Energy in hartree per atom: -0.1390

# PBE-GGA Li3H2N2, optimized geometry
data_Li3H2N2
_symmetry_space_group_name_H-M 'P 1'
_symmetry_Int_Tables_number 1
_cell_length_a 6.024
_cell_length_b 6.024
_cell_length_c 6.024
_cell_angle_alpha 131.16
_cell_angle_beta 72.29
_cell_angle_gamma 130.24
loop_
_symmetry_equiv_pos_as_xyz
'x,y,z'
loop_
_atom_site_label
_atom_site_type_symbol
_atom_site_fract_x
_atom_site_fract_y
_atom_site_fract_z
Li1 Li 0.005 0.750 0.255
Li2 Li 0.250 0.250 0.000
Li3 Li 0.495 0.750 0.745
Li4 Li 0.505 0.250 0.255
Li5 Li 0.750 0.750 0.000
Li6 Li 0.995 0.250 0.745
H1 H 0.053 0.648 0.701
H2 H 0.447 0.148 0.595
H3 H 0.553 0.852 0.405
H4 H 0.947 0.352 0.299
N1 N 0.135 0.780 0.915
N2 N 0.365 0.280 0.644
N3 N 0.635 0.720 0.356
N4 N 0.865 0.220 0.085
# Space group: No. 72
# D(E_F) in states/eV/cell: 5.1
# Energy in hartree per atom: -0.1637

# PBE-GGA Li4HN2, optimized geometry
data_Li4HN2
_symmetry_space_group_name_H-M 'P 1'
_symmetry_Int_Tables_number 1
_cell_length_a 5.777
_cell_length_b 5.777
_cell_length_c 5.777
_cell_angle_alpha 35.44
_cell_angle_beta 35.44
_cell_angle_gamma 35.44
loop_
_symmetry_equiv_pos_as_xyz
'x,y,z'
loop_
_atom_site_label
_atom_site_type_symbol
_atom_site_fract_x
_atom_site_fract_y
_atom_site_fract_z
Li1 Li 0.114 0.114 0.114
Li2 Li 0.293 0.293 0.293
Li3 Li 0.707 0.707 0.707
Li4 Li 0.886 0.886 0.886
H1 H 0.500 0.500 0.500
N1 N 0.420 0.420 0.420
N2 N 0.580 0.580 0.580
# Space group: No. 166
# D(E_F) in states/eV/cell: 2.1
# Energy in hartree per atom: -0.1535